Computed, not measured: a relaxed GdInAsO crystal at the PBE-GGA level of DFT.

Unit cell a=5.4952 b=5.7152 c=6.0240 alpha=90.00 beta=90.00 gamma=90.00
Closest atoms and distances in Å follow each position.
Fractional coordinates of all 8 atoms:
Gd (0.0000, 0.1917, 0.0000)  2 O 2.13-2.14
Gd (0.0000, 0.8083, 0.5000)  2 O 2.13-2.14
In (0.5000, 0.2308, 0.3870)  2 O 2.80, 3 As 2.84-2.89
In (0.5000, 0.7692, 0.8870)  2 O 2.80, 3 As 2.84-2.89
As (0.5000, 0.2734, 0.8580)  3 In 2.84-2.89, 2 Gd 2.92
As (0.5000, 0.7266, 0.3580)  3 In 2.84-2.89, 2 Gd 2.92
O (0.0000, 0.1478, 0.3532)  2 Gd 2.13-2.14
O (0.0000, 0.8522, 0.8532)  2 Gd 2.13-2.14

Output
As for the energy above the most stable polymorph in this dataset: 0.130 eV/atom.



Computed, not measured: a relaxed GdInAsO crystal at the PBE-GGA level of DFT.

Unit cell a=4.4534 b=4.4534 c=8.3781 alpha=90.00 beta=90.00 gamma=90.00
Closest atoms and distances in Å follow each position.
Fractional coordinates of all 8 atoms:
Gd (0.2500, 0.7500, 0.0000)  4 As 2.82, 4 Gd 3.15
Gd (0.7500, 0.2500, 0.0000)  4 As 2.82, 4 Gd 3.15
In (0.2500, 0.2500, 0.4072)  4 O 2.36
In (0.7500, 0.7500, 0.5928)  4 O 2.36
As (0.2500, 0.2500, 0.7925)  4 Gd 2.82
As (0.7500, 0.7500, 0.2075)  4 Gd 2.82
O (0.2500, 0.7500, 0.5000)  4 In 2.36
O (0.7500, 0.2500, 0.5000)  4 In 2.36

Output
As for the energy above the most stable polymorph in this dataset: 0.852 eV/atom.



Computed, not measured: a relaxed GdInAsO crystal at the PBE-GGA level of DFT.

Unit cell a=8.3147 b=8.2586 c=5.4182 alpha=90.00 beta=91.24 gamma=90.00
Closest atoms and distances in Å follow each position.
Fractional coordinates of all 16 atoms:
Gd (0.0000, 0.2459, 0.0000)  1 O 2.11
Gd (0.0000, 0.7541, 0.0000)  1 O 2.11
Gd (0.5000, 0.2541, 0.0000)  1 O 2.11
Gd (0.5000, 0.7459, 0.0000)  1 O 2.11
In (0.2053, 0.0000, 0.4275)  2 O 2.29
In (0.2984, 0.5000, 0.4164)  2 O 2.28
In (0.7053, 0.5000, 0.4275)  2 O 2.29
In (0.7984, 0.0000, 0.4164)  2 O 2.28
As (0.2413, 0.5000, 0.9064)  2 In 2.71-2.79, 4 Gd 2.95-2.99
As (0.2572, 0.0000, 0.9216)  2 In 2.70-2.78, 4 Gd 2.94-2.99
As (0.7413, 0.0000, 0.9064)  2 In 2.71-2.79, 4 Gd 2.95-2.99
As (0.7572, 0.5000, 0.9216)  2 In 2.70-2.78, 4 Gd 2.94-2.99
O (0.0011, 0.1843, 0.3776)  1 Gd 2.11, 2 In 2.28-2.29
O (0.0011, 0.8157, 0.3776)  1 Gd 2.11, 2 In 2.28-2.29
O (0.5011, 0.3157, 0.3776)  1 Gd 2.11, 2 In 2.28-2.29
O (0.5011, 0.6843, 0.3776)  1 Gd 2.11, 2 In 2.28-2.29

Output
As for the energy above the most stable polymorph in this dataset: 0.155 eV/atom.



Computed, not measured: a relaxed GdAsIrO crystal at the PBE-GGA level of DFT.

Unit cell a=4.0451 b=4.0451 c=8.1681 alpha=90.00 beta=90.00 gamma=90.00
Closest atoms and distances in Å follow each position.
Fractional coordinates of all 8 atoms:
Gd (0.2500, 0.2500, 0.1333)  4 O 2.30
Gd (0.7500, 0.7500, 0.8667)  4 O 2.30
As (0.2500, 0.2500, 0.6745)  4 Ir 2.47
As (0.7500, 0.7500, 0.3255)  4 Ir 2.47
Ir (0.2500, 0.7500, 0.5000)  4 As 2.47
Ir (0.7500, 0.2500, 0.5000)  4 As 2.47
O (0.2500, 0.7500, 0.0000)  4 Gd 2.30
O (0.7500, 0.2500, 0.0000)  4 Gd 2.30

Output
As for the energy above the most stable polymorph in this dataset: 0.000 eV/atom.



Computed, not measured: a relaxed GdAsIrO crystal at the PBE-GGA level of DFT.

Unit cell a=4.4349 b=4.2354 c=7.1401 alpha=90.00 beta=90.00 gamma=90.00
Closest atoms and distances in Å follow each position.
Fractional coordinates of all 8 atoms:
Gd (0.0000, 0.2396, 0.0000)  3 O 2.39-2.44
Gd (0.0000, 0.7604, 0.5000)  3 O 2.39-2.44
As (0.5000, 0.2300, 0.6748)  3 Ir 2.40-2.43
As (0.5000, 0.7700, 0.1748)  3 Ir 2.40-2.43
Ir (0.5000, 0.2736, 0.3373)  2 O 2.22, 3 As 2.40-2.43
Ir (0.5000, 0.7264, 0.8373)  2 O 2.22, 3 As 2.40-2.43
O (0.0000, 0.2644, 0.3351)  2 Ir 2.22, 3 Gd 2.39-2.44
O (0.0000, 0.7356, 0.8351)  2 Ir 2.22, 3 Gd 2.39-2.44

Output
As for the energy above the most stable polymorph in this dataset: 0.543 eV/atom.



Computed, not measured: a relaxed GdAsIrO crystal at the PBE-GGA level of DFT.

Unit cell a=4.5305 b=4.5305 c=6.9309 alpha=90.00 beta=90.00 gamma=90.00
Closest atoms and distances in Å follow each position.
Fractional coordinates of all 8 atoms:
Gd (0.2500, 0.7500, 0.0000)  4 Ir 2.77
Gd (0.7500, 0.2500, 0.0000)  4 Ir 2.77
As (0.2500, 0.2500, 0.4141)  4 O 2.34, 1 Ir 2.47
As (0.7500, 0.7500, 0.5859)  4 O 2.34, 1 Ir 2.47
Ir (0.2500, 0.2500, 0.7702)  1 As 2.47
Ir (0.7500, 0.7500, 0.2298)  1 As 2.47
O (0.2500, 0.7500, 0.5000)  4 As 2.34
O (0.7500, 0.2500, 0.5000)  4 As 2.34

Output
As for the energy above the most stable polymorph in this dataset: 1.661 eV/atom.



Computed, not measured: a relaxed GdAsIrO crystal at the PBE-GGA level of DFT.

Unit cell a=3.1689 b=7.9752 c=5.3395 alpha=90.00 beta=90.00 gamma=90.00
Closest atoms and distances in Å follow each position.
Fractional coordinates of all 8 atoms:
Gd (0.0000, 0.1319, 0.0000)  4 O 2.37-2.39
Gd (0.0000, 0.8681, 0.5000)  4 O 2.37-2.39
As (0.0000, 0.4795, 0.3343)  2 Ir 2.42, 2 As 2.69
As (0.0000, 0.5205, 0.8343)  2 Ir 2.42, 2 As 2.69
Ir (0.5000, 0.2649, 0.4567)  1 O 2.10
Ir (0.5000, 0.7351, 0.9567)  1 O 2.10
O (0.5000, 0.0506, 0.6867)  1 Ir 2.10
O (0.5000, 0.9494, 0.1867)  1 Ir 2.10

Output
As for the energy above the most stable polymorph in this dataset: 0.574 eV/atom.



Computed, not measured: a relaxed Gd2As2IrOsO2 crystal at the PBE-GGA level of DFT.

Unit cell a=4.0743 b=4.0743 c=8.0303 alpha=90.00 beta=90.00 gamma=90.00
Closest atoms and distances in Å follow each position.
Fractional coordinates of all 8 atoms:
Gd (0.0000, 0.5000, 0.1326)  4 O 2.30
Gd (0.5000, 0.0000, 0.8674)  4 O 2.30
As (0.0000, 0.5000, 0.6705)  2 Os 2.45, 2 Ir 2.45
As (0.5000, 0.0000, 0.3295)  2 Ir 2.45, 2 Os 2.45
Ir (0.5000, 0.5000, 0.5000)  4 As 2.45
Os (0.0000, 0.0000, 0.5000)  4 As 2.45
O (0.0000, 0.0000, 0.0000)  4 Gd 2.30
O (0.5000, 0.5000, 0.0000)  4 Gd 2.30



Computed, not measured: a relaxed TbGdAs2Ir2O2 crystal at the PBE-GGA level of DFT.

Unit cell a=4.0362 b=4.0362 c=8.1231 alpha=90.00 beta=90.00 gamma=90.00
Closest atoms and distances in Å follow each position.
Fractional coordinates of all 8 atoms:
Tb (0.0000, 0.0000, 0.0000)  4 O 2.28
Gd (0.5000, 0.5000, 0.7350)  4 O 2.29
As (0.0000, 0.0000, 0.5438)  4 Ir 2.47
As (0.5000, 0.5000, 0.1917)  4 Ir 2.47
Ir (0.0000, 0.5000, 0.3677)  4 As 2.47
Ir (0.5000, 0.0000, 0.3677)  4 As 2.47
O (0.0000, 0.5000, 0.8692)  2 Tb 2.28, 2 Gd 2.29
O (0.5000, 0.0000, 0.8692)  2 Tb 2.28, 2 Gd 2.29



Computed, not measured: a relaxed KGdAsO crystal at the PBE-GGA level of DFT.

Unit cell a=3.4947 b=7.9574 c=7.6569 alpha=90.00 beta=90.00 gamma=90.00
Closest atoms and distances in Å follow each position.
Fractional coordinates of all 8 atoms:
K (0.0000, 0.0419, 0.0000)  2 O 2.61-2.82
K (0.0000, 0.9581, 0.5000)  2 O 2.61-2.82
Gd (0.5000, 0.3696, 0.3487)  2 O 2.12
Gd (0.5000, 0.6304, 0.8487)  2 O 2.12
As (0.5000, 0.2883, 0.7205)  2 Gd 2.89-2.92
As (0.5000, 0.7117, 0.2205)  2 Gd 2.89-2.92
O (0.0000, 0.2379, 0.2732)  2 Gd 2.12
O (0.0000, 0.7621, 0.7732)  2 Gd 2.12

Output
As for the energy above the most stable polymorph in this dataset: 0.000 eV/atom.



Computed, not measured: a relaxed KGdAsO crystal at the PBE-GGA level of DFT.

Unit cell a=4.0611 b=4.0611 c=10.8894 alpha=90.00 beta=90.00 gamma=90.00
Closest atoms and distances in Å follow each position.
Fractional coordinates of all 8 atoms:
K (0.2500, 0.7500, 0.0000)  4 K 2.87, 4 As 3.21
K (0.7500, 0.2500, 0.0000)  4 K 2.87, 4 As 3.21
Gd (0.2500, 0.2500, 0.4025)  4 O 2.29
Gd (0.7500, 0.7500, 0.5975)  4 O 2.29
As (0.2500, 0.2500, 0.7712)  4 K 3.21, 4 Gd 3.44, 4 O 3.58
As (0.7500, 0.7500, 0.2288)  4 K 3.21, 4 Gd 3.44, 4 O 3.58
O (0.2500, 0.7500, 0.5000)  4 Gd 2.29
O (0.7500, 0.2500, 0.5000)  4 Gd 2.29

Output
As for the energy above the most stable polymorph in this dataset: 0.066 eV/atom.



Computed, not measured: a relaxed KGdAsO crystal at the PBE-GGA level of DFT.

Unit cell a=4.9358 b=6.8631 c=5.9924 alpha=90.00 beta=90.00 gamma=90.00
Closest atoms and distances in Å follow each position.
Fractional coordinates of all 8 atoms:
K (0.0000, 0.1270, 0.0000)  4 O 2.97-3.06, 1 As 3.00
K (0.0000, 0.8730, 0.5000)  4 O 2.97-3.06, 1 As 3.00
Gd (0.5000, 0.2218, 0.5010)  2 O 2.13-2.14
Gd (0.5000, 0.7782, 0.0010)  2 O 2.13-2.14
As (0.0000, 0.4390, 0.4442)  2 Gd 2.90, 1 K 3.00, 2 As 3.11
As (0.0000, 0.5610, 0.9442)  2 Gd 2.90, 1 K 3.00, 2 As 3.11
O (0.5000, 0.0068, 0.7604)  2 Gd 2.13-2.14
O (0.5000, 0.9932, 0.2604)  2 Gd 2.13-2.14

Output
As for the energy above the most stable polymorph in this dataset: 0.022 eV/atom.



VASP energy for the records above, in order: -5.62, -4.89, -5.59, -7.61, -7.07, -5.95, -7.04, -7.86, -7.61, -5.41, -5.34, -5.39 eV/atom